Entry 1:
A plane-wave DFT calculation with PBE was carried out for K2Ba2Na after structural relaxation.

Final energy: -7.046 eV per cell
Calculated density: 2.0 g/cm³
Magnetic moment: 0.00 μB/cell
E above lowest polymorph: 0 meV/atom
E_form: 0.0626 eV/atom
DOS(E_F): 6.574 states/eV/cell
Symmetry: C2/m

```
5
Lattice="4.450 0.002 -0.009 2.227 3.853 -0.009 0.023 0.013 18.232" Properties=species:S:1:pos:R:3 pbc="T T T"
K 2.228 1.286 3.337
K 4.472 2.582 14.878
Ba 2.244 1.296 10.940
Ba 4.456 2.573 7.275
Na 0.000 0.000 0.000
```



Entry 2:
A plane-wave DFT calculation with PBE was carried out for ReW2Au after structural relaxation.

Final energy: -40.277 eV per cell
Calculated density: 19.2 g/cm³
Magnetic moment: 0.00 μB/cell
E above lowest polymorph: 69 meV/atom
E_form: 0.3386 eV/atom
DOS(E_F): 2.528 states/eV/cell
Symmetry: Pm

```
4
Lattice="4.550 0.000 0.000 0.000 2.739 -0.160 0.000 1.048 5.157" Properties=species:S:1:pos:R:3 pbc="T T T"
Au 0.000 2.285 2.401
Re 2.275 2.599 3.920
W 0.000 3.709 4.870
W 2.275 0.873 1.303
```



Entry 3:
A plane-wave DFT calculation with PBE was carried out for ZrIn3Ge after structural relaxation.

Final energy: -17.746 eV per cell
Calculated density: 6.0 g/cm³
Magnetic moment: 0.00 μB/cell
E above lowest polymorph: 0 meV/atom
E_form: 0.7269 eV/atom
DOS(E_F): 6.585 states/eV/cell
Symmetry: Pm-3m

```
5
Lattice="-5.162 -0.312 -0.653 -0.535 -1.522 4.956 -0.487 4.975 1.475" Properties=species:S:1:pos:R:3 pbc="T T T"
Ge 0.000 0.000 0.000
Zr -3.092 1.571 2.889
In -0.267 -0.761 2.478
In -0.243 2.488 0.738
In -2.581 -0.156 -0.326
```



Entry 4:
A plane-wave DFT calculation with PBE was carried out for Nd5Y3Er2 after structural relaxation.

Final energy: -99.022 eV per cell
Calculated density: 6.4 g/cm³
Magnetic moment: 0.00 μB/cell
E above lowest polymorph: 106 meV/atom
E_form: 0.2846 eV/atom
DOS(E_F): 31.045 states/eV/cell
Symmetry: Ibam

```
20
Lattice="-1.237 -5.375 -3.372 -2.824 -7.815 7.297 -9.474 1.708 -5.443" Properties=species:S:1:pos:R:3 pbc="T T T"
Nd -2.192 -4.506 1.790
Nd -5.099 -3.917 -4.280
Nd -11.343 -6.977 -3.308
Nd -8.436 -7.566 2.762
Nd -9.870 -7.270 -0.282
Nd -3.664 -4.212 -1.236
Nd -7.077 -7.085 -1.602
Nd -6.458 -4.398 0.084
Nd -3.046 -1.525 0.450
Nd -10.489 -9.958 -1.968
Y -8.836 -4.201 -2.456
Y -7.214 -10.095 0.149
Y -4.699 -7.282 0.938
Y -6.320 -1.387 -1.666
Y -0.309 -1.344 -0.843
Y -0.928 -4.031 -2.529
Er -2.972 -6.151 4.698
Er -8.006 -2.516 -5.446
Er -10.562 -5.332 -6.216
Er -5.529 -8.967 3.928
```



Entry 5:
A plane-wave DFT calculation with PBE was carried out for Y5Ga2Sn after structural relaxation.

Final energy: -94.667 eV per cell
Calculated density: 5.4 g/cm³
Magnetic moment: 0.00 μB/cell
E_form: -0.6195 eV/atom
DOS(E_F): 14.250 states/eV/cell
Symmetry: I4/mcm

```
16
Lattice="-2.907 -2.587 -6.837 3.344 -7.013 1.232 -5.943 2.641 6.054" Properties=species:S:1:pos:R:3 pbc="T T T"
Y -3.422 -4.324 1.618
Y -0.774 -8.207 -2.564
Y 0.000 0.000 0.000
Y 0.219 -4.800 -2.802
Y -4.732 1.249 3.013
Y -5.602 -1.268 -0.190
Y -2.552 -1.807 4.822
Y 0.096 -5.691 0.639
Y -2.953 -5.152 -4.373
Y -2.083 -2.635 -1.169
Ga 0.860 -2.932 -0.432
Ga -1.397 -2.541 -4.146
Ga 1.834 -7.059 -1.458
Ga -0.423 -6.669 -5.172
Sn -2.644 -5.880 -1.177
Sn -2.862 -1.079 1.626
```



Entry 6:
A plane-wave DFT calculation with PBE was carried out for PmErOsO6 after structural relaxation.

Final energy: -143.184 eV per cell
Calculated density: 7.7 g/cm³
Magnetic moment: 4.02 μB/cell
DOS(E_F): 9.006 states/eV/cell
Symmetry: P-31c

```
18
Lattice="5.490 0.000 0.000 -2.745 4.755 0.000 0.000 0.000 9.865" Properties=species:S:1:pos:R:3 pbc="T T T"
Pm 0.000 0.000 0.000
Pm 0.000 0.000 4.933
Er 0.000 3.170 2.466
Er 2.745 1.585 7.399
Os 2.745 1.585 2.466
Os 0.000 3.170 7.399
O 1.937 2.975 1.366
O 4.354 1.590 1.366
O -0.800 4.565 6.299
O -1.608 3.165 8.499
O 1.137 1.590 3.566
O 3.554 2.975 3.566
O 0.800 4.565 8.499
O 3.545 0.190 3.566
O -0.808 1.779 6.299
O 1.945 0.190 1.366
O 1.608 3.165 6.299
O 0.808 1.779 8.499
```



Entry 7:
A plane-wave DFT calculation with PBE was carried out for Tb6SmIn4 after structural relaxation.

Final energy: -46.688 eV per cell
Calculated density: 7.8 g/cm³
Magnetic moment: 2.21 μB/cell
E_form: -0.2939 eV/atom
DOS(E_F): 9.971 states/eV/cell
Symmetry: P-6m2

```
11
Lattice="3.710 0.000 0.000 0.000 10.164 0.000 0.000 -5.082 8.802" Properties=species:S:1:pos:R:3 pbc="T T T"
Tb 0.000 5.082 0.676
Tb 1.855 2.175 7.124
Tb 0.000 3.127 4.063
Tb 0.000 7.037 4.063
Tb 1.855 -2.175 7.124
Tb 1.855 0.000 3.357
Sm 0.000 0.000 0.000
In 1.855 5.082 5.958
In 1.855 2.463 1.422
In 1.855 7.701 1.422
In 0.000 0.000 5.868
```



Entry 8:
A plane-wave DFT calculation with PBE was carried out for TmPuPdO6 after structural relaxation.

Final energy: -147.009 eV per cell
Calculated density: 8.4 g/cm³
Magnetic moment: 6.03 μB/cell
DOS(E_F): 12.401 states/eV/cell
Symmetry: P-31c

```
18
Lattice="-4.501 -2.804 0.497 3.375 -1.065 -3.980 4.697 -6.525 5.729" Properties=species:S:1:pos:R:3 pbc="T T T"
Tm 0.000 0.000 0.000
Tm 2.349 -3.263 2.865
Pu -0.701 -3.856 0.437
Pu 4.273 -6.539 1.809
Pd 1.924 -3.276 -1.055
Pd 1.647 -7.118 3.302
O -0.098 -3.406 -1.528
O 1.779 -1.250 -0.609
O 1.431 -5.107 3.788
O 1.793 -9.145 2.856
O 1.348 -3.719 0.893
O 3.925 -3.102 -0.516
O 1.121 -7.502 5.277
O 2.140 -5.287 -1.542
O -0.354 -7.293 2.763
O 2.450 -2.892 -3.031
O 2.223 -6.675 1.353
O 3.669 -6.988 3.774
```



Entry 9:
A plane-wave DFT calculation with PBE was carried out for PaTl2ClF6 after structural relaxation.

Final energy: -54.959 eV per cell
Calculated density: 5.8 g/cm³
Magnetic moment: 0.09 μB/cell
DOS(E_F): 0.000 states/eV/cell
Symmetry: P-3m1

```
10
Lattice="-1.348 -3.659 -4.298 -2.891 -4.138 4.429 -3.627 4.814 -2.961" Properties=species:S:1:pos:R:3 pbc="T T T"
Pa 0.000 0.000 0.000
Tl -3.672 1.043 -1.422
Tl -4.194 -4.027 -1.408
Cl -0.674 -1.830 -2.149
F -2.928 -2.207 -3.973
F -4.664 0.096 -5.390
F -6.046 -1.884 -3.271
F -3.202 -3.079 2.560
F -1.819 -1.100 0.441
F -4.937 -0.777 1.143
```



Entry 10:
A plane-wave DFT calculation with PBE was carried out for K2LiMgSb after structural relaxation.

Final energy: -9.734 eV per cell
Calculated density: 1.5 g/cm³
Magnetic moment: 0.00 μB/cell
DOS(E_F): 2.476 states/eV/cell
Symmetry: P4/mmm

```
5
Lattice="6.869 0.000 0.000 0.000 5.359 0.000 0.000 0.000 6.869" Properties=species:S:1:pos:R:3 pbc="T T T"
Sb 0.000 0.000 0.000
K 0.000 0.000 3.434
K 3.434 0.000 0.000
Mg 0.000 2.680 0.000
Li 3.434 2.680 3.434
```



Entry 11:
A plane-wave DFT calculation with PBE was carried out for RbSr2H after structural relaxation.

Final energy: -15.927 eV per cell
Calculated density: 2.2 g/cm³
Magnetic moment: 0.00 μB/cell
E above lowest polymorph: 0 meV/atom
DOS(E_F): 0.000 states/eV/cell
Symmetry: I-42d

```
8
Lattice="8.225 0.000 0.000 0.000 8.225 0.000 4.112 4.112 5.807" Properties=species:S:1:pos:R:3 pbc="T T T"
Sr 4.145 2.056 1.452
Sr 4.080 6.169 1.452
Sr 6.169 8.192 4.355
Sr 10.281 8.258 4.355
Rb 0.000 0.000 0.000
Rb 8.225 4.112 2.903
H 4.112 4.112 0.000
H 4.112 8.225 2.903
```



Entry 12:
A plane-wave DFT calculation with PBE was carried out for Pm5Mg3Ge3 after structural relaxation.

Final energy: -44.010 eV per cell
Calculated density: 4.8 g/cm³
Magnetic moment: 0.03 μB/cell
E_form: -0.1474 eV/atom
DOS(E_F): 8.390 states/eV/cell
Symmetry: P-62m

```
11
Lattice="-0.632 0.661 4.683 -8.761 -2.703 -0.801 6.582 -6.187 1.761" Properties=species:S:1:pos:R:3 pbc="T T T"
Pm 1.152 -4.695 3.248
Pm -3.963 -3.534 2.394
Pm -0.882 -1.979 2.591
Pm 4.557 -4.250 3.645
Pm -6.802 -1.671 1.748
Mg -1.163 -4.744 0.512
Mg -4.086 -1.261 -0.374
Mg 3.070 -2.885 0.821
Ge -1.726 -5.421 2.962
Ge 2.008 -1.854 2.963
Ge -3.409 -0.624 2.059
```



Entry 13:
A plane-wave DFT calculation with PBE was carried out for CsPI4 after structural relaxation.

Final energy: -30.854 eV per cell
Calculated density: 3.4 g/cm³
Magnetic moment: 0.00 μB/cell
Symmetry: C2/c

```
12
Lattice="8.954 0.170 1.026 2.007 6.346 3.705 0.074 -1.746 10.783" Properties=species:S:1:pos:R:3 pbc="T T T"
Cs 7.435 1.798 5.349
Cs 3.600 2.971 10.164
P 4.032 5.256 6.016
P 7.003 -0.486 9.496
I 6.365 0.559 11.786
I 9.414 0.459 8.633
I 9.368 3.322 13.620
I 4.852 -0.061 7.872
I 6.184 4.831 7.641
I 1.668 1.448 1.893
I 1.621 4.311 6.880
I 4.670 4.211 3.727
```



Entry 14:
A plane-wave DFT calculation with PBE was carried out for CeYPd4 after structural relaxation.

Final energy: -76.143 eV per cell
Calculated density: 9.0 g/cm³
Magnetic moment: 0.98 μB/cell
E above lowest polymorph: 0 meV/atom
E_form: -0.8171 eV/atom
DOS(E_F): 12.434 states/eV/cell
Symmetry: Cmcm

```
12
Lattice="4.106 0.000 -0.842 0.000 5.786 0.000 -0.061 0.000 10.137" Properties=species:S:1:pos:R:3 pbc="T T T"
Ce 1.677 1.446 8.179
Ce 2.368 4.339 1.117
Y 2.949 1.446 3.948
Y 1.096 4.339 5.348
Pd 0.000 0.000 0.000
Pd 0.000 2.893 0.000
Pd 0.587 0.060 2.862
Pd 3.458 2.953 6.434
Pd 0.587 2.833 2.862
Pd 3.458 5.726 6.434
Pd 2.343 1.446 0.997
Pd 1.702 4.339 8.299
```



Entry 15:
A plane-wave DFT calculation with PBE was carried out for La2PRu after structural relaxation.

Final energy: -26.810 eV per cell
Calculated density: 6.5 g/cm³
Magnetic moment: 0.00 μB/cell
E_form: -0.5674 eV/atom
DOS(E_F): 2.207 states/eV/cell
Symmetry: R-3m

```
4
Lattice="7.545 -2.017 0.010 7.545 2.017 0.010 7.001 0.000 3.461" Properties=species:S:1:pos:R:3 pbc="T T T"
La 16.609 0.000 2.617
La 5.482 0.000 0.864
P 11.045 0.000 1.741
Ru 0.000 0.000 0.000
```



Entry 16:
A plane-wave DFT calculation with PBE was carried out for Te3C after structural relaxation.

Final energy: -13.848 eV per cell
Calculated density: 7.2 g/cm³
Magnetic moment: 0.00 μB/cell
E above lowest polymorph: 395 meV/atom
DOS(E_F): 3.069 states/eV/cell
Symmetry: P-6m2

```
4
Lattice="3.363 0.000 0.000 -1.681 2.912 0.000 0.000 0.000 9.274" Properties=species:S:1:pos:R:3 pbc="T T T"
C 0.000 0.000 0.000
Te 0.000 0.000 4.637
Te 1.681 0.971 1.624
Te 1.681 0.971 7.650
```



Entry 17:
A plane-wave DFT calculation with PBE was carried out for UPd6Pt4 after structural relaxation.

Final energy: -138.386 eV per cell
Calculated density: 14.8 g/cm³
Magnetic moment: 0.00 μB/cell
E_form: -0.2350 eV/atom
DOS(E_F): 16.668 states/eV/cell
Symmetry: Cmcm

```
22
Lattice="-2.147 1.851 2.864 -3.292 -4.529 -2.374 5.977 -10.124 11.026" Properties=species:S:1:pos:R:3 pbc="T T T"
U -2.737 -6.024 1.843
U 3.275 -6.778 9.672
Pd -1.073 0.926 1.432
Pd 1.915 -4.136 6.945
Pd -3.209 -6.443 4.595
Pd 3.748 -6.359 6.921
Pd 5.209 -8.834 9.617
Pd -4.671 -3.968 1.899
Pd -0.339 -4.045 5.195
Pd 0.878 -8.757 6.320
Pd 2.316 -11.193 8.973
Pd -1.777 -1.608 2.542
Pd 0.022 -3.746 2.439
Pd 0.516 -9.056 9.077
Pt -0.980 -6.531 6.323
Pt -2.176 -3.718 0.772
Pt 1.518 -6.271 5.192
Pt 2.715 -9.084 10.743
Pt 2.005 -11.586 11.829
Pt -1.466 -1.215 -0.313
Pt 1.252 -6.605 8.044
Pt -0.713 -6.197 3.472
```



Entry 18:
A plane-wave DFT calculation with PBE was carried out for TiZnGe2Ru after structural relaxation.

Final energy: -25.948 eV per cell
Calculated density: 5.3 g/cm³
Magnetic moment: 1.34 μB/cell
E_form: 0.3463 eV/atom
DOS(E_F): 5.487 states/eV/cell
Symmetry: P4/mmm

```
5
Lattice="4.798 0.000 0.000 0.000 4.882 0.000 0.000 0.000 4.798" Properties=species:S:1:pos:R:3 pbc="T T T"
Ru 0.000 0.000 0.000
Ge 0.000 0.000 2.399
Ge 2.399 0.000 0.000
Zn 2.399 2.441 2.399
Ti 0.000 2.441 0.000
```



Entry 19:
A plane-wave DFT calculation with PBE was carried out for SiPPb after structural relaxation.

Final energy: -13.348 eV per cell
Calculated density: 6.5 g/cm³
Magnetic moment: 0.00 μB/cell
E above lowest polymorph: 323 meV/atom
DOS(E_F): 1.738 states/eV/cell
Symmetry: Fmm2

```
3
Lattice="-0.489 -4.372 5.673 -2.703 -5.324 3.248 2.857 -1.851 0.321" Properties=species:S:1:pos:R:3 pbc="T T T"
P -3.012 -9.462 8.665
Pb -1.170 -7.073 6.046
Si 0.653 -4.708 3.454
```



Entry 20:
A plane-wave DFT calculation with PBE was carried out for TbNdEu2 after structural relaxation.

Final energy: -29.364 eV per cell
Calculated density: 6.9 g/cm³
Magnetic moment: 14.54 μB/cell
E above lowest polymorph: 58 meV/atom
E_form: 0.1457 eV/atom
DOS(E_F): 4.759 states/eV/cell
Symmetry: Fm-3m

```
4
Lattice="5.915 0.000 0.000 2.957 5.122 0.000 2.957 1.707 4.829" Properties=species:S:1:pos:R:3 pbc="T T T"
Eu 2.957 1.707 1.207
Eu 8.872 5.122 3.622
Nd 5.915 3.415 2.415
Tb 0.000 0.000 0.000
```



Entry 21:
A plane-wave DFT calculation with PBE was carried out for KCuPbSe2 after structural relaxation.

Final energy: -37.852 eV per cell
Calculated density: 5.0 g/cm³
Magnetic moment: 0.00 μB/cell
Symmetry: P2/c

```
10
Lattice="5.090 0.000 0.000 0.000 7.864 -0.229 0.000 -2.568 7.909" Properties=species:S:1:pos:R:3 pbc="T T T"
K 1.199 2.006 5.818
K 3.891 3.290 1.863
Cu 0.000 0.000 0.000
Cu 0.000 -1.284 3.955
Pb 2.057 -0.642 1.977
Pb 3.033 -1.926 5.932
Se 3.792 3.415 7.676
Se 3.792 0.596 3.959
Se 1.299 4.700 3.721
Se 1.299 1.880 0.005
```



Entry 22:
A plane-wave DFT calculation with PBE was carried out for Pm2Cd15In2 after structural relaxation.

Final energy: -31.276 eV per cell
Calculated density: 8.2 g/cm³
Magnetic moment: 0.00 μB/cell
E_form: -0.1353 eV/atom
DOS(E_F): 7.592 states/eV/cell
Symmetry: R-3m

```
19
Lattice="-4.869 -0.403 -5.938 0.078 -7.661 -0.653 -6.333 -1.280 4.169" Properties=species:S:1:pos:R:3 pbc="T T T"
Pm -3.679 -3.091 -0.801
Pm -7.445 -6.254 -1.621
Cd -2.434 -0.202 -2.969
Cd -3.167 -0.640 2.085
Cd 0.039 -3.831 -0.327
Cd -1.935 -5.658 0.861
Cd -3.315 -2.683 -4.279
Cd -5.873 -1.005 0.995
Cd -1.475 -5.382 -2.313
Cd -5.328 -0.679 -2.764
Cd -4.320 -3.284 2.655
Cd -4.872 -5.847 1.261
Cd -4.175 -5.430 -3.550
Cd -7.226 -2.393 -1.255
Cd -6.252 -3.498 -3.683
Cd -6.949 -3.915 1.127
Cd -3.898 -6.952 -1.168
In -1.118 -0.939 -0.244
In -10.006 -8.406 -2.179
```